Entry 1:
# CdSbOs2

A relaxed structure of CdSbOs2 (PBE-GGA, Alexandria). Values from VASP.

Output
- energy above the lowest structure with this stoichiometry (meV/atom) = 491
- space-group type = Immm, No. 71

Structure (Quantum ESPRESSO input):
```
&SYSTEM
  ibrav = 0, nat = 4, ntyp = 3
/
ATOMIC_SPECIES
Cd 112.41 Cd.upf
Sb 121.76 Sb.upf
Os 190.23 Os.upf
ATOMIC_POSITIONS angstrom
Cd 1.516 1.914 1.308
Sb 3.096 -0.564 1.308
Os 4.052 2.583 0.000
Os 7.620 4.858 0.000
CELL_PARAMETERS angstrom
5.471 0.003 0.000
2.311 4.958 0.000
-3.170 -3.611 2.615
```

=====

Entry 2:
# Rb3URh3S8

A relaxed structure of Rb3URh3S8 (PBE-GGA, Alexandria). Values from VASP.

Output
- calculated total energy (eV/atom) = -5.497
- space-group type = C2/m, No. 12

Structure (Quantum ESPRESSO input):
```
&SYSTEM
  ibrav = 0, nat = 15, ntyp = 4
/
ATOMIC_SPECIES
Rb 85.47 Rb.upf
Rh 102.91 Rh.upf
S 32.06 S.upf
U 238.03 U.upf
ATOMIC_POSITIONS angstrom
Rb -1.817 3.147 -0.012
Rb 1.817 3.147 -0.012
Rb 0.000 0.000 0.000
Rh 3.634 -2.087 3.831
Rh -1.817 1.060 3.819
Rh 1.817 1.060 3.819
S 1.959 -0.960 2.436
S 0.000 0.182 5.213
S 5.309 -0.960 2.436
S -1.675 3.081 5.202
S 3.634 0.014 5.005
S 3.634 1.938 2.425
S 0.000 2.106 2.634
S 1.675 3.081 5.202
U 0.000 -2.087 3.831
CELL_PARAMETERS angstrom
7.268 0.000 0.000
-3.634 6.295 -0.024
0.000 -4.174 7.663
```